# PmCoBi2O6 PBE+U optimized geometry
data_PmCoBi2O6
_chemical_formula_sum 'Pm1 Co1 Bi2 O6'
_symmetry_space_group_name_H-M 'P 1'
_symmetry_Int_Tables_number 1
_symmetry_space_group_name_Hall 'P 1'
_cell_length_a 5.837
_cell_length_b 5.863
_cell_length_c 5.963
_cell_angle_alpha 91.74
_cell_angle_beta 118.28
_cell_angle_gamma 118.32
loop_
_atom_site_label
_atom_site_type_symbol
_atom_site_fract_x
_atom_site_fract_y
_atom_site_fract_z
_atom_site_occupancy
Pm1 Pm 0.000 0.000 0.000 1
Co1 Co 0.027 0.516 0.532 1
Bi1 Bi 0.434 0.712 0.165 1
Bi2 Bi 0.449 0.231 0.660 1
O1 O 0.166 0.797 0.336 1
O2 O 0.178 0.848 0.809 1
O3 O 0.506 0.642 0.822 1
O4 O 0.549 0.379 0.343 1
O5 O 0.973 0.340 0.835 1
O6 O 0.982 0.210 0.355 1
# Total DFT energy (no corrections)   -63.395 eV for the cell shown
# M_tot   4.06 μB per formula unit